1.
A plane-wave DFT calculation with PBE-GGA was carried out for an optimized crystal structure of AcNpN2O.

abc: 3.8847 3.8847 11.3116
angles: 90.00 90.00 90.00
Atoms (fractional coordinates):
Ac (0.2500, 0.2500, 0.1255)
Ac (0.7500, 0.7500, 0.8745)
Np (0.2500, 0.2500, 0.5941)
Np (0.7500, 0.7500, 0.4059)
N (0.2500, 0.2500, 0.4215)
N (0.2500, 0.2500, 0.7565)
N (0.7500, 0.7500, 0.2435)
N (0.7500, 0.7500, 0.5785)
O (0.2500, 0.7500, 0.0000)
O (0.7500, 0.2500, 0.0000)

2.
A plane-wave DFT calculation with PBE-GGA was carried out for an optimized crystal structure of Ti2AuN.

abc: 7.0046 7.0046 7.0046
angles: 25.16 25.16 25.16
Atoms (fractional coordinates):
Ti (0.2220, 0.2220, 0.2220)
Ti (0.7780, 0.7780, 0.7780)
Au (0.0000, 0.0000, 0.0000)
N (0.5000, 0.5000, 0.5000)

Uncorrected formation energy
In order: -1.725 -1.104
Unit: eV/atom